(1)
First-principles (PBE) data for a relaxed structure of PrMg, as listed in the Open Quantum Materials Database.

Output
Distance to the lowest polymorph of the same formula (kJ/mol of formula units): 239
Electronic total energy (eV per formula unit): -4.08

a b c (Å): 5.0699 5.0699 8.3181
angles (deg): 90.00 90.00 120.00
Last column: nearest neighbours and their distance in Å.
Positions (direct):
Pr1 0.3333 0.6667 0.0000  4 Mg 3.11-3.12
Pr2 0.6667 0.3333 0.5000  4 Mg 3.11-3.12
Mg1 0.3333 0.6667 0.6248  4 Pr 3.11-3.12
Mg2 0.6667 0.3333 0.1248  4 Pr 3.11-3.12


(2)
First-principles (PBE) data for a relaxed structure of MgCoNiS3, as listed in the Open Quantum Materials Database.

Output
Distance to the lowest polymorph of the same formula (kJ/mol of formula units): 0
Electronic total energy (eV per formula unit): -29.36

a b c (Å): 5.9966 5.9966 8.9636
angles (deg): 90.00 90.00 147.01
Last column: nearest neighbours and their distance in Å.
Positions (direct):
Mg1 0.2449 0.7551 0.7500  8 S 2.68-2.90, 2 Ni 2.83
Mg2 0.7551 0.2449 0.2500  8 S 2.68-2.90, 2 Ni 2.83
Co1 0.0000 0.0000 0.0000  6 S 2.33-2.40
Co2 0.0000 0.0000 0.5000  6 S 2.33-2.40
Ni1 0.4520 0.5480 0.2500  4 S 2.17-2.22
Ni2 0.5480 0.4520 0.7500  4 S 2.17-2.22
S1 0.0752 0.9248 0.2500  2 Ni 2.22, 2 Co 2.40
S2 0.3645 0.6355 0.0354  1 Ni 2.17, 2 Co 2.33
S3 0.3645 0.6355 0.4646  1 Ni 2.17, 2 Co 2.33
S4 0.6355 0.3645 0.5354  1 Ni 2.17, 2 Co 2.33
S5 0.6355 0.3645 0.9646  1 Ni 2.17, 2 Co 2.33
S6 0.9248 0.0752 0.7500  2 Ni 2.22, 2 Co 2.40


(3)
First-principles (PBE) data for a relaxed structure of Li4GeW2, as listed in the Open Quantum Materials Database.

Output
Electronic total energy (eV per formula unit): -29.37

a b c (Å): 8.1729 8.1729 4.6513
angles (deg): 90.00 90.00 90.00
Last column: nearest neighbours and their distance in Å.
Positions (direct):
Li1 0.0000 0.2024 0.0000  2 Li 2.34
Li2 0.0000 0.7976 0.0000  2 Li 2.34
Li3 0.2024 0.0000 0.0000  2 Li 2.34
Li4 0.2976 0.5000 0.5000  2 Li 2.34
Li5 0.5000 0.2976 0.5000  2 Li 2.34
Li6 0.5000 0.7024 0.5000  2 Li 2.34
Li7 0.7024 0.5000 0.5000  2 Li 2.34
Li8 0.7976 0.0000 0.0000  2 Li 2.34
Ge1 0.0000 0.0000 0.5000  8 Li 2.85
Ge2 0.5000 0.5000 0.0000  8 Li 2.85
W1 0.0000 0.5000 0.2500  2 W 2.33
W2 0.0000 0.5000 0.7500  2 W 2.33
W3 0.5000 0.0000 0.2500  2 W 2.33
W4 0.5000 0.0000 0.7500  2 W 2.33


(4)
First-principles (PBE) data for a relaxed structure of Nb6AlIr, as listed in the Open Quantum Materials Database.

Output
Electronic total energy (eV per formula unit): -75.75

a b c (Å): 5.1842 5.1842 5.1842
angles (deg): 90.00 90.00 90.00
Last column: nearest neighbours and their distance in Å.
Positions (direct):
Nb1 0.0000 0.2525 0.5000  2 Nb 2.57-2.62
Nb2 0.0000 0.7475 0.5000  2 Nb 2.57-2.62
Nb3 0.2525 0.5000 0.0000  2 Nb 2.57-2.62
Nb4 0.5000 0.0000 0.2525  2 Nb 2.57-2.62
Nb5 0.5000 0.0000 0.7475  2 Nb 2.57-2.62
Nb6 0.7475 0.5000 0.0000  2 Nb 2.57-2.62
Al1 0.0000 0.0000 0.0000  12 Nb 2.90
Ir1 0.5000 0.5000 0.5000  12 Nb 2.89


(5)
First-principles (PBE) data for a relaxed structure of Sc2SnOs, as listed in the Open Quantum Materials Database.

Output
Electronic total energy (eV per formula unit): -29.40

a b c (Å): 6.6626 6.6626 6.6626
angles (deg): 90.00 90.00 90.00
Last column: nearest neighbours and their distance in Å.
Positions (direct):
Sc1 0.0000 0.0000 0.0000  4 Os 2.88, 4 Sc 2.88
Sc2 0.0000 0.5000 0.5000  4 Os 2.88, 4 Sc 2.88
Sc3 0.2500 0.2500 0.2500  4 Sn 2.88, 4 Sc 2.88
Sc4 0.2500 0.7500 0.7500  4 Sn 2.88, 4 Sc 2.88
Sc5 0.5000 0.0000 0.5000  4 Os 2.88, 4 Sc 2.88
Sc6 0.5000 0.5000 0.0000  4 Os 2.88, 4 Sc 2.88
Sc7 0.7500 0.2500 0.7500  4 Sn 2.88, 4 Sc 2.88
Sc8 0.7500 0.7500 0.2500  4 Sn 2.88, 4 Sc 2.88
Sn1 0.0000 0.0000 0.5000  4 Os 2.88, 4 Sc 2.88
Sn2 0.0000 0.5000 0.0000  4 Os 2.88, 4 Sc 2.88
Sn3 0.5000 0.0000 0.0000  4 Os 2.88, 4 Sc 2.88
Sn4 0.5000 0.5000 0.5000  4 Os 2.88, 4 Sc 2.88
Os1 0.2500 0.2500 0.7500  4 Sn 2.88, 4 Sc 2.88
Os2 0.2500 0.7500 0.2500  4 Sn 2.88, 4 Sc 2.88
Os3 0.7500 0.2500 0.2500  4 Sn 2.88, 4 Sc 2.88
Os4 0.7500 0.7500 0.7500  4 Sn 2.88, 4 Sc 2.88


(6)
First-principles (PBE) data for a relaxed structure of LuSi2Au, as listed in the Open Quantum Materials Database.

Output
Electronic total energy (eV per formula unit): -19.02

a b c (Å): 6.7230 6.7230 6.7230
angles (deg): 90.00 90.00 90.00
Last column: nearest neighbours and their distance in Å.
Positions (direct):
Lu1 0.0000 0.0000 0.0000  4 Au 2.91, 4 Si 2.91
Lu2 0.0000 0.5000 0.5000  4 Au 2.91, 4 Si 2.91
Lu3 0.5000 0.0000 0.5000  4 Au 2.91, 4 Si 2.91
Lu4 0.5000 0.5000 0.0000  4 Au 2.91, 4 Si 2.91
Si1 0.0000 0.0000 0.5000  4 Si 2.91, 4 Au 2.91
Si2 0.0000 0.5000 0.0000  4 Si 2.91, 4 Au 2.91
Si3 0.2500 0.2500 0.2500  4 Lu 2.91, 4 Si 2.91
Si4 0.2500 0.7500 0.7500  4 Lu 2.91, 4 Si 2.91
Si5 0.5000 0.0000 0.0000  4 Si 2.91, 4 Au 2.91
Si6 0.5000 0.5000 0.5000  4 Si 2.91, 4 Au 2.91
Si7 0.7500 0.2500 0.7500  4 Lu 2.91, 4 Si 2.91
Si8 0.7500 0.7500 0.2500  4 Lu 2.91, 4 Si 2.91
Au1 0.2500 0.2500 0.7500  4 Si 2.91, 4 Lu 2.91
Au2 0.2500 0.7500 0.2500  4 Si 2.91, 4 Lu 2.91
Au3 0.7500 0.2500 0.2500  4 Si 2.91, 4 Lu 2.91
Au4 0.7500 0.7500 0.7500  4 Si 2.91, 4 Lu 2.91


(7)
First-principles (PBE) data for a relaxed structure of GaCoCuOs, as listed in the Open Quantum Materials Database.

Output
Distance to the lowest polymorph of the same formula (kJ/mol of formula units): 0
Electronic total energy (eV per formula unit): -24.49

a b c (Å): 5.9215 5.9215 5.9215
angles (deg): 90.00 90.00 90.00
Last column: nearest neighbours and their distance in Å.
Positions (direct):
Ga1 0.0000 0.0000 0.0000  4 Os 2.56, 4 Cu 2.56
Ga2 0.0000 0.5000 0.5000  4 Os 2.56, 4 Cu 2.56
Ga3 0.5000 0.0000 0.5000  4 Os 2.56, 4 Cu 2.56
Ga4 0.5000 0.5000 0.0000  4 Os 2.56, 4 Cu 2.56
Co1 0.0000 0.0000 0.5000  4 Cu 2.56, 4 Os 2.56
Co2 0.0000 0.5000 0.0000  4 Cu 2.56, 4 Os 2.56
Co3 0.5000 0.0000 0.0000  4 Cu 2.56, 4 Os 2.56
Co4 0.5000 0.5000 0.5000  4 Cu 2.56, 4 Os 2.56
Cu1 0.2500 0.2500 0.2500  4 Ga 2.56, 4 Co 2.56
Cu2 0.2500 0.7500 0.7500  4 Ga 2.56, 4 Co 2.56
Cu3 0.7500 0.2500 0.7500  4 Ga 2.56, 4 Co 2.56
Cu4 0.7500 0.7500 0.2500  4 Ga 2.56, 4 Co 2.56
Os1 0.2500 0.2500 0.7500  4 Co 2.56, 4 Ga 2.56
Os2 0.2500 0.7500 0.2500  4 Co 2.56, 4 Ga 2.56
Os3 0.7500 0.2500 0.2500  4 Co 2.56, 4 Ga 2.56
Os4 0.7500 0.7500 0.7500  4 Co 2.56, 4 Ga 2.56


(8)
First-principles (PBE) data for a relaxed structure of Ag124Pb, as listed in the Open Quantum Materials Database.

Output
Electronic total energy (eV per formula unit): -353.17

a b c (Å): 14.5479 14.5479 14.5479
angles (deg): 60.00 60.00 60.00
Last column: nearest neighbours and their distance in Å.
Positions (direct):
Ag1 0.0988 0.5000 0.5000  12 Ag 2.86-2.92
Ag2 0.0988 0.5000 0.7006  12 Ag 2.89-2.92
Ag3 0.0988 0.5000 0.9012  12 Ag 2.86-2.92
Ag4 0.0988 0.7006 0.5000  12 Ag 2.89-2.92
Ag5 0.0988 0.7006 0.7006  12 Ag 2.89-2.92
Ag6 0.0988 0.9012 0.5000  12 Ag 2.86-2.92
Ag7 0.1000 0.1000 0.1000  12 Ag 2.91
Ag8 0.1001 0.1001 0.2997  12 Ag 2.90-2.91
Ag9 0.1001 0.1001 0.5000  12 Ag 2.90-2.91
Ag10 0.1000 0.1000 0.7000  12 Ag 2.91
Ag11 0.0999 0.0999 0.9001  12 Ag 2.91
Ag12 0.1001 0.2997 0.1001  12 Ag 2.90-2.91
Ag13 0.1004 0.2999 0.2999  12 Ag 2.90-2.91
Ag14 0.1001 0.2997 0.5000  12 Ag 2.90-2.91
Ag15 0.0998 0.2999 0.7001  12 Ag 2.90-2.91
Ag16 0.0998 0.2999 0.9002  12 Ag 2.90-2.91
Ag17 0.1001 0.5000 0.1001  12 Ag 2.90-2.91
Ag18 0.1001 0.5000 0.2997  12 Ag 2.90-2.91
Ag19 0.1000 0.7000 0.1000  12 Ag 2.91
Ag20 0.0998 0.7001 0.2999  12 Ag 2.90-2.91
Ag21 0.0998 0.7001 0.9002  12 Ag 2.90-2.91
Ag22 0.0999 0.9001 0.0999  12 Ag 2.91
Ag23 0.0998 0.9002 0.2999  12 Ag 2.90-2.91
Ag24 0.0998 0.9002 0.7001  12 Ag 2.90-2.91
Ag25 0.0999 0.9001 0.9001  12 Ag 2.91
Ag26 0.2953 0.5000 0.5000  11 Ag 2.86-2.98, 1 Pb 2.98
Ag27 0.2953 0.5000 0.7047  11 Ag 2.86-2.98, 1 Pb 2.98
Ag28 0.2953 0.7047 0.5000  11 Ag 2.86-2.98, 1 Pb 2.98
Ag29 0.2994 0.2994 0.5000  12 Ag 2.89-2.92
Ag30 0.2994 0.2994 0.9012  12 Ag 2.89-2.92
Ag31 0.2994 0.5000 0.2994  12 Ag 2.89-2.92
Ag32 0.2994 0.5000 0.9012  12 Ag 2.89-2.92
Ag33 0.2994 0.9012 0.2994  12 Ag 2.89-2.92
Ag34 0.2994 0.9012 0.5000  12 Ag 2.89-2.92
Ag35 0.2997 0.1001 0.1001  12 Ag 2.90-2.91
Ag36 0.2999 0.1004 0.2999  12 Ag 2.90-2.91
Ag37 0.2997 0.1001 0.5000  12 Ag 2.90-2.91
Ag38 0.2999 0.0998 0.7001  12 Ag 2.90-2.91
Ag39 0.2999 0.0998 0.9002  12 Ag 2.90-2.91
Ag40 0.2999 0.2999 0.1004  12 Ag 2.90-2.91
Ag41 0.2999 0.2999 0.2999  12 Ag 2.90-2.91
Ag42 0.2995 0.2995 0.7005  12 Ag 2.91-2.92
Ag43 0.2997 0.5000 0.1001  12 Ag 2.90-2.91
Ag44 0.2999 0.7001 0.0998  12 Ag 2.90-2.91
Ag45 0.2995 0.7005 0.2995  12 Ag 2.91-2.92
Ag46 0.2995 0.7005 0.7005  12 Ag 2.91-2.92
Ag47 0.2999 0.7001 0.9002  12 Ag 2.90-2.91
Ag48 0.2999 0.9002 0.0998  12 Ag 2.90-2.91
Ag49 0.2999 0.9002 0.7001  12 Ag 2.90-2.91
Ag50 0.3000 0.9000 0.9000  12 Ag 2.91
Ag51 0.5000 0.0988 0.5000  12 Ag 2.86-2.92
Ag52 0.5000 0.0988 0.7006  12 Ag 2.89-2.92
Ag53 0.5000 0.0988 0.9012  12 Ag 2.86-2.92
Ag54 0.5000 0.1001 0.1001  12 Ag 2.90-2.91
Ag55 0.5000 0.1001 0.2997  12 Ag 2.90-2.91
Ag56 0.5000 0.2953 0.5000  11 Ag 2.86-2.98, 1 Pb 2.98
Ag57 0.5000 0.2953 0.7047  11 Ag 2.86-2.98, 1 Pb 2.98
Ag58 0.5000 0.2994 0.2994  12 Ag 2.89-2.92
Ag59 0.5000 0.2994 0.9012  12 Ag 2.89-2.92
Ag60 0.5000 0.2997 0.1001  12 Ag 2.90-2.91
Ag61 0.5000 0.5000 0.0988  12 Ag 2.86-2.92
Ag62 0.5000 0.5000 0.2953  11 Ag 2.86-2.98, 1 Pb 2.98
Ag63 0.5000 0.5000 0.7047  11 Ag 2.86-2.98, 1 Pb 2.98
Ag64 0.5000 0.5000 0.9012  12 Ag 2.86-2.92
Ag65 0.5000 0.7003 0.8999  12 Ag 2.90-2.91
Ag66 0.5000 0.7006 0.0988  12 Ag 2.89-2.92
Ag67 0.5000 0.7006 0.7006  12 Ag 2.89-2.92
Ag68 0.5000 0.7047 0.2953  11 Ag 2.86-2.98, 1 Pb 2.98
Ag69 0.5000 0.7047 0.5000  11 Ag 2.86-2.98, 1 Pb 2.98
Ag70 0.5000 0.8999 0.7003  12 Ag 2.90-2.91
Ag71 0.5000 0.8999 0.8999  12 Ag 2.90-2.91
Ag72 0.5000 0.9012 0.0988  12 Ag 2.86-2.92
Ag73 0.5000 0.9012 0.2994  12 Ag 2.89-2.92
Ag74 0.5000 0.9012 0.5000  12 Ag 2.86-2.92
Ag75 0.7000 0.1000 0.1000  12 Ag 2.91
Ag76 0.7001 0.0998 0.2999  12 Ag 2.90-2.91
Ag77 0.7001 0.0998 0.9002  12 Ag 2.90-2.91
Ag78 0.7001 0.2999 0.0998  12 Ag 2.90-2.91
Ag79 0.7005 0.2995 0.2995  12 Ag 2.91-2.92
Ag80 0.7005 0.2995 0.7005  12 Ag 2.91-2.92
Ag81 0.7001 0.2999 0.9002  12 Ag 2.90-2.91
Ag82 0.7003 0.5000 0.8999  12 Ag 2.90-2.91
Ag83 0.7005 0.7005 0.2995  12 Ag 2.91-2.92
Ag84 0.7001 0.7001 0.7001  12 Ag 2.90-2.91
Ag85 0.7001 0.7001 0.8996  12 Ag 2.90-2.91
Ag86 0.7001 0.9002 0.0998  12 Ag 2.90-2.91
Ag87 0.7001 0.9002 0.2999  12 Ag 2.90-2.91
Ag88 0.7003 0.8999 0.5000  12 Ag 2.90-2.91
Ag89 0.7001 0.8996 0.7001  12 Ag 2.90-2.91
Ag90 0.7003 0.8999 0.8999  12 Ag 2.90-2.91
Ag91 0.7006 0.0988 0.5000  12 Ag 2.89-2.92
Ag92 0.7006 0.0988 0.7006  12 Ag 2.89-2.92
Ag93 0.7006 0.5000 0.0988  12 Ag 2.89-2.92
Ag94 0.7006 0.5000 0.7006  12 Ag 2.89-2.92
Ag95 0.7006 0.7006 0.0988  12 Ag 2.89-2.92
Ag96 0.7006 0.7006 0.5000  12 Ag 2.89-2.92
Ag97 0.7047 0.2953 0.5000  11 Ag 2.86-2.98, 1 Pb 2.98
Ag98 0.7047 0.5000 0.2953  11 Ag 2.86-2.98, 1 Pb 2.98
Ag99 0.7047 0.5000 0.5000  11 Ag 2.86-2.98, 1 Pb 2.98
Ag100 0.9001 0.0999 0.0999  12 Ag 2.91
Ag101 0.9002 0.0998 0.2999  12 Ag 2.90-2.91
Ag102 0.9002 0.0998 0.7001  12 Ag 2.90-2.91
Ag103 0.9001 0.0999 0.9001  12 Ag 2.91
Ag104 0.9002 0.2999 0.0998  12 Ag 2.90-2.91
Ag105 0.9002 0.2999 0.7001  12 Ag 2.90-2.91
Ag106 0.9000 0.3000 0.9000  12 Ag 2.91
Ag107 0.8999 0.5000 0.7003  12 Ag 2.90-2.91
Ag108 0.8999 0.5000 0.8999  12 Ag 2.90-2.91
Ag109 0.9002 0.7001 0.0998  12 Ag 2.90-2.91
Ag110 0.9002 0.7001 0.2999  12 Ag 2.90-2.91
Ag111 0.8999 0.7003 0.5000  12 Ag 2.90-2.91
Ag112 0.8996 0.7001 0.7001  12 Ag 2.90-2.91
Ag113 0.8999 0.7003 0.8999  12 Ag 2.90-2.91
Ag114 0.9001 0.9001 0.0999  12 Ag 2.91
Ag115 0.9000 0.9000 0.3000  12 Ag 2.91
Ag116 0.8999 0.8999 0.5000  12 Ag 2.90-2.91
Ag117 0.8999 0.8999 0.7003  12 Ag 2.90-2.91
Ag118 0.9000 0.9000 0.9000  12 Ag 2.91
Ag119 0.9012 0.0988 0.5000  12 Ag 2.86-2.92
Ag120 0.9012 0.2994 0.2994  12 Ag 2.89-2.92
Ag121 0.9012 0.2994 0.5000  12 Ag 2.89-2.92
Ag122 0.9012 0.5000 0.0988  12 Ag 2.86-2.92
Ag123 0.9012 0.5000 0.2994  12 Ag 2.89-2.92
Ag124 0.9012 0.5000 0.5000  12 Ag 2.86-2.92
Pb1 0.5000 0.5000 0.5000  12 Ag 2.98


(9)
First-principles (PBE) data for a relaxed structure of TcSb3S4, as listed in the Open Quantum Materials Database.

Output
Electronic total energy (eV per formula unit): -37.89

a b c (Å): 5.1477 5.1477 15.4408
angles (deg): 90.00 90.00 90.00
Last column: nearest neighbours and their distance in Å.
Positions (direct):
Tc1 0.0000 0.0000 0.0000  4 S 2.26
Tc2 0.5000 0.5000 0.5000  4 S 2.26
Sb1 0.0000 0.0000 0.5000  4 S 2.59
Sb2 0.0000 0.5000 0.2500  4 S 2.92
Sb3 0.0000 0.5000 0.7500  4 S 2.92
Sb4 0.5000 0.0000 0.2500  4 S 2.92
Sb5 0.5000 0.0000 0.7500  4 S 2.92
Sb6 0.5000 0.5000 0.0000  4 S 2.59
S1 0.2197 0.2197 0.8969  1 Tc 2.26
S2 0.2197 0.7803 0.1031  1 Tc 2.26
S3 0.2803 0.2803 0.3969  1 Tc 2.26
S4 0.2803 0.7197 0.6031  1 Tc 2.26
S5 0.7197 0.2803 0.6031  1 Tc 2.26
S6 0.7197 0.7197 0.3969  1 Tc 2.26
S7 0.7803 0.2197 0.1031  1 Tc 2.26
S8 0.7803 0.7803 0.8969  1 Tc 2.26


(10)
First-principles (PBE) data for a relaxed structure of HoLuSi2Pd, as listed in the Open Quantum Materials Database.

Output
Distance to the lowest polymorph of the same formula (kJ/mol of formula units): 0
Electronic total energy (eV per formula unit): -29.75

a b c (Å): 5.6008 5.6008 9.9669
angles (deg): 115.38 115.38 44.16
Last column: nearest neighbours and their distance in Å.
Positions (direct):
Ho1 0.1860 0.1860 0.1065  6 Si 2.92-3.03, 2 Pd 3.18
Ho2 0.8140 0.8140 0.8935  6 Si 2.92-3.03, 2 Pd 3.18
Lu1 0.0027 0.0027 0.3255  6 Si 2.90-3.00, 4 Pd 3.02-3.09
Lu2 0.9973 0.9973 0.6745  6 Si 2.90-3.00, 4 Pd 3.02-3.09
Si1 0.3686 0.3686 0.4342  1 Si 2.42, 3 Pd 2.49-2.63
Si2 0.4806 0.4806 0.1158  1 Si 2.52, 1 Pd 2.59
Si3 0.5194 0.5194 0.8842  1 Si 2.52, 1 Pd 2.59
Si4 0.6314 0.6314 0.5658  1 Si 2.42, 3 Pd 2.49-2.63
Pd1 0.2750 0.2750 0.6381  4 Si 2.49-2.63
Pd2 0.7250 0.7250 0.3619  4 Si 2.49-2.63